(1)
Compound: DyYSnC
Source: the Open Quantum Materials Database
Functional: PBE
Structure: optimized geometry

Results
Symmetry: P-6m2 (187)
Uncorrected energy (eV for the cell shown): -52.9

Cell lengths 3.626, 3.626, 15.877 Å; angles 90.00, 90.00, 120.00 degrees
Fractional positions:
Dy 0.000 0.000 0.166
Dy 0.000 0.000 0.834
Y 0.333 0.667 0.335
Y 0.333 0.667 0.665
Sn 0.000 0.000 0.500
Sn 0.333 0.667 0.000
C 0.667 0.333 0.250
C 0.667 0.333 0.750

(2)
Compound: DyYSnC
Source: the Open Quantum Materials Database
Functional: PBE
Structure: optimized geometry

Results
Symmetry: P-3m1 (164)
Uncorrected energy (eV for the cell shown): -52.9

Cell lengths 3.627, 3.627, 15.878 Å; angles 90.00, 90.00, 120.00 degrees
Fractional positions:
Dy 0.333 0.667 0.084
Dy 0.667 0.333 0.916
Y 0.333 0.667 0.415
Y 0.667 0.333 0.585
Sn 0.333 0.667 0.750
Sn 0.667 0.333 0.250
C 0.000 0.000 0.000
C 0.000 0.000 0.500

(3)
Compound: DyTa3C
Source: the Open Quantum Materials Database
Functional: PBE
Structure: optimized geometry

Results
Symmetry: Pm-3m (221)
Uncorrected energy (eV for the cell shown): -49.2

Cell lengths 4.448, 4.448, 4.448 Å; angles 90.00, 90.00, 90.00 degrees
Fractional positions:
Dy 0.000 0.000 0.000
Ta 0.000 0.500 0.500
Ta 0.500 0.000 0.500
Ta 0.500 0.500 0.000
C 0.500 0.500 0.500

(4)
Compound: Tb2Dy2C3
Source: the Open Quantum Materials Database
Functional: PBE
Structure: optimized geometry

Results
Symmetry: C2/m (12)
Uncorrected energy (eV for the cell shown): -47.5

Cell lengths 6.751, 6.751, 6.096 Å; angles 113.52, 113.52, 31.86 degrees
Fractional positions:
Tb 0.136 0.136 0.496
Tb 0.864 0.864 0.504
Dy 0.368 0.368 0.053
Dy 0.632 0.632 0.947
C 0.222 0.222 0.208
C 0.500 0.500 0.500
C 0.778 0.778 0.792

(5)
Compound: TbDy3Te2C2
Source: the Open Quantum Materials Database
Functional: PBE
Structure: optimized geometry

Results
Symmetry: P3m1 (156)
Uncorrected energy (eV for the cell shown): -50.1

Cell lengths 3.839, 3.839, 14.062 Å; angles 90.00, 90.00, 120.00 degrees
Fractional positions:
Tb 0.000 0.000 0.000
Dy 0.000 0.000 0.687
Dy 0.667 0.333 0.187
Dy 0.667 0.333 0.500
Te 0.000 0.000 0.344
Te 0.667 0.333 0.843
C 0.333 0.667 0.094
C 0.333 0.667 0.593

(6)
Compound: TbDyTeC
Source: the Open Quantum Materials Database
Functional: PBE
Structure: optimized geometry

Results
Symmetry: P-3m1 (164)
Uncorrected energy (eV for the cell shown): -50.1

Cell lengths 3.845, 3.845, 14.084 Å; angles 90.00, 90.00, 120.00 degrees
Fractional positions:
Tb 0.333 0.667 0.094
Tb 0.667 0.333 0.906
Dy 0.333 0.667 0.407
Dy 0.667 0.333 0.593
Te 0.333 0.667 0.749
Te 0.667 0.333 0.251
C 0.000 0.000 0.000
C 0.000 0.000 0.500

(7)
Compound: TbDyTeC
Source: the Open Quantum Materials Database
Functional: PBE
Structure: optimized geometry

Results
Symmetry: P6_3mc (186)
Uncorrected energy (eV for the cell shown): -50.1

Cell lengths 3.843, 3.843, 14.084 Å; angles 90.00, 90.00, 120.00 degrees
Fractional positions:
Tb 0.333 0.667 0.000
Tb 0.667 0.333 0.500
Dy 0.333 0.667 0.687
Dy 0.667 0.333 0.187
Te 0.333 0.667 0.343
Te 0.667 0.333 0.843
C 0.000 0.000 0.094
C 0.000 0.000 0.594

(8)
Compound: TbDyTeC
Source: the Open Quantum Materials Database
Functional: PBE
Structure: optimized geometry

Results
Symmetry: P-6m2 (187)
Uncorrected energy (eV for the cell shown): -50.1

Cell lengths 3.845, 3.845, 14.086 Å; angles 90.00, 90.00, 120.00 degrees
Fractional positions:
Tb 0.000 0.000 0.157
Tb 0.000 0.000 0.843
Dy 0.667 0.333 0.344
Dy 0.667 0.333 0.656
Te 0.000 0.000 0.500
Te 0.667 0.333 0.000
C 0.333 0.667 0.251
C 0.333 0.667 0.749

(9)
Compound: Dy2TcC2
Source: the Open Quantum Materials Database
Functional: PBE
Structure: optimized geometry

Results
Symmetry: C2/m (12)
Uncorrected energy (eV for the cell shown): -79.4

Cell lengths 6.119, 6.119, 6.657 Å; angles 115.80, 115.80, 49.27 degrees
Fractional positions:
Dy 0.031 0.031 0.276
Dy 0.321 0.321 0.878
Dy 0.679 0.679 0.122
Dy 0.969 0.969 0.724
Tc 0.363 0.363 0.371
Tc 0.637 0.637 0.629
C 0.180 0.180 0.110
C 0.493 0.493 0.723
C 0.507 0.507 0.277
C 0.820 0.820 0.890

(10)
Compound: Dy6Te5C
Source: the Open Quantum Materials Database
Functional: PBE
Structure: optimized geometry

Results
Symmetry: C2/m (12)
Uncorrected energy (eV for the cell shown): -66.8

Cell lengths 7.393, 7.393, 7.284 Å; angles 99.61, 99.61, 119.59 degrees
Fractional positions:
Dy 0.069 0.348 0.710
Dy 0.203 0.203 0.275
Dy 0.348 0.069 0.710
Dy 0.652 0.931 0.290
Dy 0.797 0.797 0.725
Dy 0.931 0.652 0.290
Te 0.181 0.819 0.000
Te 0.336 0.664 0.500
Te 0.500 0.500 0.000
Te 0.664 0.336 0.500
Te 0.819 0.181 0.000
C 0.000 0.000 0.500

(11)
Compound: Dy2TeC2
Source: the Open Quantum Materials Database
Functional: PBE
Structure: optimized geometry

Results
Symmetry: C2/c (15)
Uncorrected energy (eV for the cell shown): -68.9

Cell lengths 7.360, 7.360, 7.021 Å; angles 101.25, 101.25, 32.66 degrees
Fractional positions:
Dy 0.026 0.668 0.861
Dy 0.332 0.974 0.639
Dy 0.668 0.026 0.361
Dy 0.974 0.332 0.139
Te 0.298 0.702 0.250
Te 0.702 0.298 0.750
C 0.144 0.396 0.463
C 0.396 0.144 0.963
C 0.604 0.856 0.037
C 0.856 0.604 0.537

(12)
Compound: Dy4TlTeC2
Source: the Open Quantum Materials Database
Functional: PBE
Structure: optimized geometry

Results
Symmetry: P-6m2 (187)
Uncorrected energy (eV for the cell shown): -47.2

Cell lengths 3.715, 3.715, 15.217 Å; angles 90.00, 90.00, 120.00 degrees
Fractional positions:
Dy 0.000 0.000 0.151
Dy 0.000 0.000 0.849
Dy 0.333 0.667 0.326
Dy 0.333 0.667 0.674
Tl 0.000 0.000 0.500
Te 0.333 0.667 0.000
C 0.667 0.333 0.236
C 0.667 0.333 0.764

(13)
Compound: DyTmTeC
Source: the Open Quantum Materials Database
Functional: PBE
Structure: optimized geometry

Results
Symmetry: P6_3mc (186)
Uncorrected energy (eV for the cell shown): -49.9

Cell lengths 3.803, 3.803, 13.922 Å; angles 90.00, 90.00, 120.00 degrees
Fractional positions:
Dy 0.333 0.667 0.000
Dy 0.667 0.333 0.500
Tm 0.333 0.667 0.314
Tm 0.667 0.333 0.814
Te 0.333 0.667 0.659
Te 0.667 0.333 0.159
C 0.000 0.000 0.406
C 0.000 0.000 0.906

(14)
Compound: Dy3TmTe2C2
Source: the Open Quantum Materials Database
Functional: PBE
Structure: optimized geometry

Results
Symmetry: P3m1 (156)
Uncorrected energy (eV for the cell shown): -50.0

Cell lengths 3.818, 3.818, 13.976 Å; angles 90.00, 90.00, 120.00 degrees
Fractional positions:
Dy 0.000 0.000 0.000
Dy 0.000 0.000 0.315
Dy 0.333 0.667 0.503
Tm 0.333 0.667 0.815
Te 0.000 0.000 0.661
Te 0.333 0.667 0.157
C 0.667 0.333 0.409
C 0.667 0.333 0.906

(15)
Compound: DyTmTeC
Source: the Open Quantum Materials Database
Functional: PBE
Structure: optimized geometry

Results
Symmetry: P-3m1 (164)
Uncorrected energy (eV for the cell shown): -49.9

Cell lengths 3.804, 3.804, 13.921 Å; angles 90.00, 90.00, 120.00 degrees
Fractional positions:
Dy 0.333 0.667 0.406
Dy 0.667 0.333 0.594
Tm 0.333 0.667 0.091
Tm 0.667 0.333 0.909
Te 0.333 0.667 0.753
Te 0.667 0.333 0.247
C 0.000 0.000 0.000
C 0.000 0.000 0.500

(16)
Compound: DyTmTeC
Source: the Open Quantum Materials Database
Functional: PBE
Structure: optimized geometry

Results
Symmetry: P-6m2 (187)
Uncorrected energy (eV for the cell shown): -49.9

Cell lengths 3.802, 3.802, 13.929 Å; angles 90.00, 90.00, 120.00 degrees
Fractional positions:
Dy 0.000 0.000 0.159
Dy 0.000 0.000 0.841
Tm 0.333 0.667 0.345
Tm 0.333 0.667 0.655
Te 0.000 0.000 0.500
Te 0.333 0.667 0.000
C 0.667 0.333 0.253
C 0.667 0.333 0.747

(17)
Compound: DyYTeC
Source: the Open Quantum Materials Database
Functional: PBE
Structure: optimized geometry

Results
Symmetry: P-6m2 (187)
Uncorrected energy (eV for the cell shown): -53.9

Cell lengths 3.837, 3.837, 14.045 Å; angles 90.00, 90.00, 120.00 degrees
Fractional positions:
Dy 0.000 0.000 0.157
Dy 0.000 0.000 0.843
Y 0.333 0.667 0.344
Y 0.333 0.667 0.656
Te 0.000 0.000 0.500
Te 0.333 0.667 0.000
C 0.667 0.333 0.250
C 0.667 0.333 0.750

(18)
Compound: DyYTeC
Source: the Open Quantum Materials Database
Functional: PBE
Structure: optimized geometry

Results
Symmetry: P-3m1 (164)
Uncorrected energy (eV for the cell shown): -53.9

Cell lengths 3.837, 3.837, 14.045 Å; angles 90.00, 90.00, 120.00 degrees
Fractional positions:
Dy 0.333 0.667 0.407
Dy 0.667 0.333 0.593
Y 0.333 0.667 0.094
Y 0.667 0.333 0.906
Te 0.333 0.667 0.750
Te 0.667 0.333 0.250
C 0.000 0.000 0.000
C 0.000 0.000 0.500

(19)
Compound: DyYTeC
Source: the Open Quantum Materials Database
Functional: PBE
Structure: optimized geometry

Results
Symmetry: P6_3mc (186)
Uncorrected energy (eV for the cell shown): -53.9

Cell lengths 3.837, 3.837, 14.043 Å; angles 90.00, 90.00, 120.00 degrees
Fractional positions:
Dy 0.333 0.667 0.000
Dy 0.667 0.333 0.500
Y 0.333 0.667 0.313
Y 0.667 0.333 0.813
Te 0.333 0.667 0.657
Te 0.667 0.333 0.157
C 0.000 0.000 0.407
C 0.000 0.000 0.907

(20)
Compound: DyZrTeC
Source: the Open Quantum Materials Database
Functional: PBE
Structure: optimized geometry

Results
Polymorph energy (0 for the lowest one) (meV per atom): 1.2
Symmetry: P-3m1 (164)

Cell lengths 3.671, 3.671, 13.813 Å; angles 90.00, 90.00, 120.00 degrees
Fractional positions:
Dy 0.333 0.667 0.096
Dy 0.667 0.333 0.904
Zr 0.333 0.667 0.415
Zr 0.667 0.333 0.585
Te 0.333 0.667 0.735
Te 0.667 0.333 0.265
C 0.000 0.000 0.000
C 0.000 0.000 0.500